[1]
Here is crystalline CuP at its relaxed geometry from the Alexandria database. Energies are from GGA-PBE.

The structure in POSCAR format:
```
CuP
1.0
-5.177 2.865 0.684
-5.774 -0.308 -1.430
-5.419 -0.581 2.403
Cu P
2 2
Direct
0.423 0.423 0.423
0.577 0.577 0.577
0.065 0.065 0.065
0.935 0.935 0.935
```

For the total magnetization, the calculation gives 0.00 μB per atom. The formation enthalpy at 0 K comes out at 0.212 eV per formula unit.

[2]
Here is crystalline CuP at its relaxed geometry from the Alexandria database. Energies are from GGA-PBE.

The structure in POSCAR format:
```
CuP
1.0
-0.363 -2.010 4.386
-1.599 -4.565 0.136
3.384 2.440 -2.451
Cu P
2 2
Direct
0.000 0.000 0.000
0.250 0.750 0.500
0.500 0.500 0.000
0.750 0.250 0.500
```

For the total magnetization, the calculation gives 0.00 μB per atom. The formation enthalpy at 0 K comes out at 0.698 eV per formula unit.

[3]
Here is crystalline Cu7P at its relaxed geometry from the Alexandria database. Energies are from GGA-PBE.

The structure in POSCAR format:
```
Cu7P
1.0
-2.914 1.857 3.820
1.590 -0.405 4.883
1.501 4.200 2.577
Cu P
7 1
Direct
0.500 0.000 0.500
0.000 0.500 0.500
0.000 0.000 0.500
0.000 0.500 0.000
0.500 0.000 0.000
0.500 0.500 0.000
0.500 0.500 0.500
0.000 0.000 0.000
```

For the total magnetization, the calculation gives 0.00 μB per atom. The formation enthalpy at 0 K comes out at 0.388 eV per formula unit.

[4]
Here is crystalline CuP2 at its relaxed geometry from the Alexandria database. Energies are from GGA-PBE.

The structure in POSCAR format:
```
CuP2
1.0
-4.357 -1.520 -0.390
-1.348 -3.293 2.964
2.133 4.075 0.239
Cu P
1 2
Direct
0.000 0.000 0.000
0.709 0.709 0.000
0.291 0.291 0.000
```

For the total magnetization, the calculation gives 0.00 μB per atom. The formation enthalpy at 0 K comes out at 1.233 eV per formula unit.

[5]
Here is crystalline CuP2 at its relaxed geometry from the Alexandria database. Energies are from GGA-PBE.

The structure in POSCAR format:
```
CuP2
1.0
-0.303 -6.063 0.025
1.271 -5.613 1.934
-4.939 -0.727 4.244
Cu P
2 4
Direct
0.390 0.390 0.886
0.610 0.610 0.114
0.028 0.028 0.661
0.811 0.811 0.188
0.972 0.972 0.339
0.189 0.189 0.812
```

For the total magnetization, the calculation gives 0.00 μB per atom. The formation enthalpy at 0 K comes out at 0.385 eV per formula unit.

[6]
Here is crystalline CuP3 at its relaxed geometry from the Alexandria database. Energies are from GGA-PBE.

The structure in POSCAR format:
```
CuP3
1.0
2.965 0.000 0.000
0.000 2.965 0.000
0.000 0.000 6.286
Cu P
1 3
Direct
0.000 0.000 0.000
0.500 0.500 0.251
0.000 0.000 0.500
0.500 0.500 0.749
```

For the total magnetization, the calculation gives 0.00 μB per atom. The formation enthalpy at 0 K comes out at 2.312 eV per formula unit. The calculation puts the energy above the most stable polymorph in this dataset at 418 meV per atom.

[7]
Here is crystalline CuP at its relaxed geometry from the Alexandria database. Energies are from GGA-PBE.

The structure in POSCAR format:
```
CuP
1.0
6.608 0.000 0.000
0.000 6.608 0.000
0.000 0.000 3.277
Cu P
4 4
Direct
0.365 0.365 0.000
0.865 0.135 0.500
0.135 0.865 0.500
0.635 0.635 0.000
0.296 0.704 0.000
0.796 0.796 0.500
0.204 0.204 0.500
0.704 0.296 0.000
```

For the total magnetization, the calculation gives 0.00 μB per atom. The formation enthalpy at 0 K comes out at 0.529 eV per formula unit.

[8]
Here is crystalline Cu3P2 at its relaxed geometry from the Alexandria database. Energies are from GGA-PBE.

The structure in POSCAR format:
```
Cu3P2
1.0
-2.127 -6.966 5.684
-2.470 -8.331 3.140
0.168 -8.150 4.349
Cu P
3 2
Direct
0.000 0.000 0.000
0.797 0.797 0.797
0.203 0.203 0.203
0.400 0.400 0.400
0.600 0.600 0.600
```

For the total magnetization, the calculation gives 0.00 μB per atom. The formation enthalpy at 0 K comes out at 0.985 eV per formula unit.

Q: formation enthalpy at 0 K of number 3 (Cu7P)?
A: 0.388 eV per formula unit

Q: Among the records above, which one has the lowest formation enthalpy at 0 K?
A: number 1

Q: Which formula does entry 5 have?
A: CuP2

Q: The highest formation enthalpy at 0 K belongs to which entry?
A: CuP3